Hf2Ti2Ge | GGA-PBE | relaxed

Its electronic total energy is -82.07 eV for the cell shown. For the volume, the calculation gives 190.9 Å³ per cell.

The space group is P4/mbm (No. 127) and the conventional cell measures 6.8187, 6.8187 and 4.1054 Å, with angles of 90.00, 90.00 and 90.00 degrees. The distinct sites, in fractional coordinates, are Hf at (0.1637, 0.3363, 0.0000), Ti at (0.1380, 0.6380, 0.5000) and Ge at (0.0000, 0.0000, 0.5000).